A geometry-optimized LiPbAu2 structure. Source: Alexandria via LeMat-Bulk, functional PBE-GGA.

Summary:
- D(E_F) (states/eV/cell) = 1.79
- energy relative to the elements (eV per atom) = -0.244

Cell: 4.8183 4.8183 4.8183 Å, 60.00 60.00 60.00°
Atoms (fractional coordinates):
1 Li 0.5000 0.5000 0.5000
2 Au 0.7500 0.7500 0.7500
3 Au 0.0000 0.0000 0.0000
4 Pb 0.2500 0.2500 0.2500



A geometry-optimized Mn2InTe structure. Source: Alexandria via LeMat-Bulk, functional PBE-GGA.

Summary:
- D(E_F) (states/eV/cell) = 2.70
- ΔE_f (raw) (eV per atom) = 0.248
- excess energy over the best structure of this formula in the dataset (meV per atom) = 65.3

Cell: 6.6664 6.6664 6.6664 Å, 153.14 141.17 47.84°
Site moments in Bohr magnetons follow the coordinates.
Atoms (fractional coordinates):
1 Mn 0.9329 0.9329 0.0000  3.70
2 Mn 0.7405 0.2405 0.5000  3.13
3 In 0.2797 0.7797 0.5000  -0.12
4 Te 0.5469 0.5469 0.0000  -0.04